Pm8SmTm4 | GGA-PBE | relaxed

```
Pm8SmTm4
1.0
3.646 2.105 9.413
-3.646 2.105 9.413
0.000 -4.210 9.413
Pm Sm Tm
8 1 4
direct
0.203 0.751 0.751
0.215 0.215 0.215
0.249 0.249 0.797
0.249 0.797 0.249
0.751 0.203 0.751
0.751 0.751 0.203
0.785 0.785 0.785
0.797 0.249 0.249
0.500 0.500 0.500
0.000 0.000 0.000
0.000 0.500 0.500
0.500 0.000 0.500
0.500 0.500 0.000
```

Summary:
- E_tot: -0.1644 hartree per atom
- Spin magnetization: 0.00 μB per cell

Pm3Sm2Tm7 | GGA-PBE | relaxed

```
Pm3Sm2Tm7
1.0
6.312 0.000 0.000
0.000 3.514 0.000
-1.909 0.000 17.328
Pm Sm Tm
3 2 7
direct
0.000 0.000 0.000
0.047 0.500 0.659
0.953 0.500 0.341
0.444 0.000 0.325
0.556 0.000 0.675
0.227 0.500 0.164
0.246 0.000 0.500
0.275 0.000 0.835
0.500 0.500 0.000
0.725 0.000 0.165
0.754 0.000 0.500
0.773 0.500 0.836
```

Summary:
- Relative energy among the computed polymorphs: 2 meV per atom
- Spin magnetization: 0.00 μB per cell

Pm4SmTm | GGA-PBE | relaxed

```
Pm4SmTm
1.0
-2.904 11.327 3.087
2.904 -11.327 3.087
2.904 11.327 -3.087
Pm Sm Tm
8 2 2
direct
0.095 0.426 0.669
0.149 0.059 0.090
0.256 0.426 0.831
0.470 0.059 0.410
0.530 0.941 0.590
0.744 0.574 0.169
0.851 0.941 0.910
0.905 0.574 0.331
0.000 0.500 0.500
0.500 0.500 0.000
0.329 0.079 0.250
0.671 0.921 0.750
```

Summary:
- Relative energy among the computed polymorphs: 0 meV per atom
- Spin magnetization: 0.00 μB per cell

Pm8SmTm5 | GGA-PBE | relaxed

```
Pm8SmTm5
1.0
-4.797 4.797 5.152
4.797 -4.797 5.152
4.797 4.797 -5.152
Pm Sm Tm
8 1 5
direct
0.087 0.674 0.766
0.175 0.280 0.757
0.326 0.092 0.413
0.522 0.418 0.243
0.582 0.825 0.105
0.679 0.913 0.587
0.720 0.478 0.895
0.908 0.321 0.234
0.000 0.000 0.000
0.212 0.619 0.186
0.381 0.567 0.593
0.433 0.027 0.814
0.750 0.250 0.500
0.973 0.788 0.407
```

Summary:
- E_tot: -0.1618 hartree per atom
- Spin magnetization: 0.00 μB per cell